*a*
LaNd2Er9: optimized geometry, PBE.

abc: 11.2683 11.2683 3.5236
angles: 90.00 90.00 120.00
Space group P6/mmm (No. 191)
Symmetry-distinct sites (fractional):
La 0.0000 0.0000 0.0000 (multiplicity 1)
Nd 0.3333 0.6667 0.0000 (multiplicity 2)
Er 0.0000 0.5000 0.0000 (multiplicity 3)
Er 0.1772 0.3543 0.5000 (multiplicity 6)



*b*
LaNd2Er9: optimized geometry, PBE.

abc: 5.031 5.031 15.102
angles: 90.00 90.00 90.00
Space group P4/mmm (No. 123)
Symmetry-distinct sites (fractional):
La 0.000 0.000 0.000 (multiplicity 1)
Nd 0.000 0.000 0.333 (multiplicity 2)
Er 0.000 0.500 0.169 (multiplicity 4)
Er 0.000 0.500 0.500 (multiplicity 2)
Er 0.500 0.500 0.000 (multiplicity 1)
Er 0.500 0.500 0.334 (multiplicity 2)



Least stable = *a*



*a*
La3Nd3Er: optimized geometry, PBE.

abc: 8.8948 8.8948 22.1518
angles: 90.00 90.00 120.00
Space group R-3 (No. 148, hexagonal axes)
Symmetry-distinct sites (fractional):
La 0.0030 0.2473 0.0571 (multiplicity 18)
Nd 0.0513 0.4477 0.8810 (multiplicity 18)
Er 0.0000 0.0000 0.3475 (multiplicity 6)



*b*
La3Nd3Er: optimized geometry, PBE.

abc: 9.8704 9.8704 5.9318
angles: 90.00 90.00 120.00
Space group P6_3/m (No. 176)
Symmetry-distinct sites (fractional):
La 0.0474 0.8045 0.2500 (multiplicity 6)
Nd 0.0956 0.6151 0.7500 (multiplicity 6)
Er 0.3333 0.6667 0.2500 (multiplicity 2)



Least stable = *a*



*a*
La4Nd2Er5: optimized geometry, PBE.

abc: 24.411 3.583 8.739
angles: 90.00 95.20 90.00
Space group C2/m (No. 12)
Symmetry-distinct sites (fractional):
La 0.042 0.000 0.343 (multiplicity 4)
La 0.233 0.500 0.826 (multiplicity 4)
Nd 0.181 0.000 0.476 (multiplicity 4)
Er 0.000 0.500 0.000 (multiplicity 2)
Er 0.089 0.500 0.706 (multiplicity 4)
Er 0.139 0.500 0.119 (multiplicity 4)



*b*
La4Nd2Er5: optimized geometry, PBE.

abc: 19.332 5.750 6.733
angles: 90.00 90.59 90.00
Space group C2/m (No. 12)
Symmetry-distinct sites (fractional):
La 0.022 0.000 0.289 (multiplicity 4)
La 0.194 0.500 0.081 (multiplicity 4)
Nd 0.100 0.500 0.559 (multiplicity 4)
Er 0.000 0.500 0.000 (multiplicity 2)
Er 0.131 0.000 0.883 (multiplicity 4)
Er 0.210 0.000 0.402 (multiplicity 4)



Least stable = *a*



*a*
LaNd2Er8: optimized geometry, PBE.

abc: 9.042 16.051 5.891
angles: 90.00 122.44 90.00
Space group C2/m (No. 12)
Symmetry-distinct sites (fractional):
La 0.000 0.000 0.000 (multiplicity 2)
Nd 0.000 0.306 0.500 (multiplicity 4)
Er 0.000 0.210 0.000 (multiplicity 4)
Er 0.069 0.500 0.794 (multiplicity 4)
Er 0.215 0.117 0.674 (multiplicity 8)



*b*
LaNd2Er8: optimized geometry, PBE.

abc: 16.447 6.641 6.701
angles: 90.00 99.47 90.00
Space group C2/m (No. 12)
Symmetry-distinct sites (fractional):
La 0.000 0.000 0.000 (multiplicity 2)
Nd 0.243 0.000 0.296 (multiplicity 4)
Er 0.088 0.500 0.906 (multiplicity 4)
Er 0.089 0.265 0.410 (multiplicity 8)
Er 0.207 0.000 0.791 (multiplicity 4)



Least stable = *b*



*a*
La4Nd5Er2: optimized geometry, PBE.

abc: 18.038 3.603 11.923
angles: 90.00 94.15 90.00
Space group C2/m (No. 12)
Symmetry-distinct sites (fractional):
La 0.041 0.000 0.263 (multiplicity 4)
La 0.142 0.500 0.795 (multiplicity 4)
Nd 0.000 0.500 0.000 (multiplicity 2)
Nd 0.096 0.000 0.539 (multiplicity 4)
Nd 0.179 0.000 0.074 (multiplicity 4)
Er 0.217 0.500 0.364 (multiplicity 4)



*b*
La4Nd5Er2: optimized geometry, PBE.

abc: 3.550 9.604 23.167
angles: 90.00 90.00 90.00
Space group Immm (No. 71)
Symmetry-distinct sites (fractional):
La 0.000 0.000 0.093 (multiplicity 4)
La 0.000 0.290 0.500 (multiplicity 4)
Nd 0.000 0.206 0.347 (multiplicity 8)
Nd 0.000 0.500 0.000 (multiplicity 2)
Er 0.000 0.000 0.229 (multiplicity 4)



Least stable = *b*



*a*
La12Nd7Er: optimized geometry, PBE.

abc: 19.7796 19.7796 6.4570
angles: 90.00 90.00 120.00
Space group R-3m (No. 166, hexagonal axes)
Symmetry-distinct sites (fractional):
La 0.0000 0.4074 0.0000 (multiplicity 18)
La 0.0963 0.5482 0.4779 (multiplicity 18)
Nd 0.0000 0.0000 0.0000 (multiplicity 3)
Nd 0.0840 0.1680 0.3001 (multiplicity 18)
Er 0.0000 0.0000 0.5000 (multiplicity 3)



*b*
La12Nd7Er: optimized geometry, PBE.

abc: 12.6393 12.6393 15.6032
angles: 90.00 90.00 120.00
Space group R-3 (No. 148, hexagonal axes)
Symmetry-distinct sites (fractional):
La 0.0225 0.4440 0.2232 (multiplicity 18)
La 0.0678 0.5925 0.5766 (multiplicity 18)
Nd 0.0000 0.0000 0.0000 (multiplicity 3)
Nd 0.0597 0.1853 0.3030 (multiplicity 18)
Er 0.0000 0.0000 0.5000 (multiplicity 3)



Least stable = *b*



*a*
LaNdSmEr: optimized geometry, PBE.

abc: 3.6536 3.6536 11.8192
angles: 90.00 90.00 120.00
Space group P3m1 (No. 156)
Symmetry-distinct sites (fractional):
La 0.0000 0.0000 0.0000 (multiplicity 1)
Nd 0.6667 0.3333 0.7405 (multiplicity 1)
Sm 0.3333 0.6667 0.4908 (multiplicity 1)
Er 0.6667 0.3333 0.2502 (multiplicity 1)



*b*
LaNdSmEr: optimized geometry, PBE.

abc: 8.196 8.196 8.196
angles: 90.00 90.00 90.00
Space group F-43m (No. 216)
Symmetry-distinct sites (fractional):
La 0.000 0.000 0.000 (multiplicity 4)
Nd 0.000 0.000 0.500 (multiplicity 4)
Sm 0.250 0.250 0.250 (multiplicity 4)
Er 0.250 0.250 0.750 (multiplicity 4)



Least stable = *b*



*a*
LaNdErTl: optimized geometry, PBE.

abc: 7.847 7.847 7.847
angles: 90.00 90.00 90.00
Space group F-43m (No. 216)
Symmetry-distinct sites (fractional):
La 0.000 0.000 0.000 (multiplicity 4)
Nd 0.250 0.250 0.750 (multiplicity 4)
Er 0.250 0.250 0.250 (multiplicity 4)
Tl 0.000 0.000 0.500 (multiplicity 4)



*b*
LaNdErTl: optimized geometry, PBE.

abc: 7.948 7.948 7.948
angles: 90.00 90.00 90.00
Space group F-43m (No. 216)
Symmetry-distinct sites (fractional):
La 0.000 0.000 0.000 (multiplicity 4)
Nd 0.000 0.000 0.500 (multiplicity 4)
Er 0.250 0.250 0.750 (multiplicity 4)
Tl 0.250 0.250 0.250 (multiplicity 4)



Least stable = *a*